# 1
# PBE Dy6Tm3Th2Sc, optimized geometry
# Crystal system: monoclinic
# VASP energy: -123.65 eV/cell
# ΔE_f: 0.031 eV per atom
# Calculated volume: 736 Å³ per cell
data_Dy6Tm3Th2Sc
_chemical_formula_sum 'Dy12 Tm6 Th4 Sc2'
_cell_length_a 6.076
_cell_length_b 10.521
_cell_length_c 11.687
_cell_angle_alpha 90.00
_cell_angle_beta 99.99
_cell_angle_gamma 90.00
_space_group_name_H-M_alt 'C 1 2/m 1'
_space_group_IT_number 12
loop_
_space_group_symop_operation_xyz
'x,y,z'
'-x,-y,-z'
'-x,y,-z'
'x,-y,z'
'x+1/2,y+1/2,z'
'-x+1/2,-y+1/2,-z'
'-x+1/2,y+1/2,-z'
'x+1/2,-y+1/2,z'
loop_
_atom_site_label
_atom_site_type_symbol
_atom_site_fract_x
_atom_site_fract_y
_atom_site_fract_z
Dy1 Dy 0.249 0.000 0.248
Dy2 Dy 0.249 0.334 0.248
Tm1 Tm 0.000 0.000 0.500
Tm2 Tm 0.000 0.334 0.500
Th1 Th 0.000 0.166 0.000
Sc1 Sc 0.000 0.500 0.000



# 2
# PBE Sm3Tm2In3, optimized geometry
# Crystal system: orthorhombic
# VASP energy: -68.51 eV/cell
# ΔE_f: -0.367 eV per atom
# Calculated volume: 461 Å³ per cell
data_Sm3Tm2In3
_chemical_formula_sum 'Sm6 Tm4 In6'
_cell_length_a 3.787
_cell_length_b 5.408
_cell_length_c 22.494
_cell_angle_alpha 90.00
_cell_angle_beta 90.00
_cell_angle_gamma 90.00
_space_group_name_H-M_alt 'I m m m'
_space_group_IT_number 71
_space_group_name_Hall '-I 2 2'
loop_
_atom_site_label
_atom_site_type_symbol
_atom_site_fract_x
_atom_site_fract_y
_atom_site_fract_z
Sm1 Sm 0.000 0.000 0.000
Sm2 Sm 0.000 0.500 0.125
Tm1 Tm 0.000 0.000 0.235
In1 In 0.000 0.000 0.500
In2 In 0.000 0.500 0.378



# 3
# PBE KAlSi2, optimized geometry
# Crystal system: trigonal
# VASP energy: -42.62 eV/cell
# Calculated volume: 255 Å³ per cell
# Raw formation energy: 1.5 eV per formula unit
data_KAlSi2
_chemical_formula_sum 'K3 Al3 Si6'
_cell_length_a 3.2637
_cell_length_b 3.2637
_cell_length_c 27.6923
_cell_angle_alpha 90.00
_cell_angle_beta 90.00
_cell_angle_gamma 120.00
_space_group_name_H-M_alt 'R -3 m'
_space_group_IT_number 166
_space_group_name_Hall '-R 3 2"'
loop_
_atom_site_label
_atom_site_type_symbol
_atom_site_fract_x
_atom_site_fract_y
_atom_site_fract_z
K1 K 0.0000 0.0000 0.0000
Al1 Al 0.0000 0.0000 0.5000
Si1 Si 0.0000 0.0000 0.2335